Compound: SmGaGePt2
Source: the Open Quantum Materials Database
Functional: PBE
Structure: optimized geometry Values from VASP.

## Properties
* symmetry: P4/nmm, No. 129
* energy relative to the lowest polymorph listed for this composition: 31.8 meV per atom
* energy: -5.814 eV per atom
* volume: 192.3 Å³ per cell
* magnetic moment: 0.003 Bohr magnetons per cell

Geometry as Quantum ESPRESSO input:
```
&SYSTEM
  ibrav = 0, nat = 10, ntyp = 4
/
ATOMIC_SPECIES
Ga 69.72 Ga.upf
Pt 195.08 Pt.upf
Ge 72.64 Ge.upf
Sm 150.36 Sm.upf
CELL_PARAMETERS angstrom
-2.164 -2.588 2.762
3.780 -1.318 1.727
-0.441 7.548 6.727
ATOMIC_POSITIONS crystal
Ga 0.000 0.500 0.131
Ga 0.500 0.000 0.869
Pt 0.000 0.500 0.375
Pt 0.500 0.000 0.625
Pt 0.000 0.000 0.000
Pt 0.500 0.500 0.000
Ge 0.000 0.000 0.500
Ge 0.500 0.500 0.500
Sm 0.500 0.000 0.252
Sm 0.000 0.500 0.748
```

---

Compound: SmGaGePt2
Source: the Open Quantum Materials Database
Functional: PBE
Structure: optimized geometry Values from VASP.

## Properties
* symmetry: P4/nmm, No. 129
* energy relative to the lowest polymorph listed for this composition: 0.0 meV per atom
* energy: -5.846 eV per atom
* volume: 191.2 Å³ per cell
* magnetic moment: 0.002 Bohr magnetons per cell

Geometry as Quantum ESPRESSO input:
```
&SYSTEM
  ibrav = 0, nat = 10, ntyp = 4
/
ATOMIC_SPECIES
Sm 150.36 Sm.upf
Pt 195.08 Pt.upf
Ge 72.64 Ge.upf
Ga 69.72 Ga.upf
CELL_PARAMETERS angstrom
-3.863 -1.775 0.717
1.904 -3.731 1.021
0.478 2.938 9.847
ATOMIC_POSITIONS crystal
Sm 0.500 0.000 0.252
Sm 0.000 0.500 0.748
Pt 0.500 0.000 0.633
Pt 0.000 0.500 0.367
Pt 0.500 0.500 0.000
Pt 0.000 0.000 0.000
Ge 0.000 0.500 0.131
Ge 0.500 0.000 0.869
Ga 0.500 0.500 0.500
Ga 0.000 0.000 0.500
```

---

Compound: Sm4Ga3Ge
Source: the Open Quantum Materials Database
Functional: PBE
Structure: optimized geometry Values from VASP.

## Properties
* symmetry: Pmm2, No. 25
* energy: -4.763 eV per atom
* volume: 202.1 Å³ per cell
* magnetic moment: 0.504 Bohr magnetons per cell

Geometry as Quantum ESPRESSO input:
```
&SYSTEM
  ibrav = 0, nat = 8, ntyp = 3
/
ATOMIC_SPECIES
Sm 150.36 Sm.upf
Ga 69.72 Ga.upf
Ge 72.64 Ge.upf
CELL_PARAMETERS angstrom
-3.852 0.899 -1.031
-1.420 -1.646 3.871
1.092 10.046 4.674
ATOMIC_POSITIONS crystal
Sm 0.000 0.500 0.861
Sm 0.500 0.000 0.640
Sm 0.500 0.500 0.140
Sm 0.000 0.000 0.359
Ga 0.500 0.500 0.426
Ga 0.000 0.500 0.576
Ga 0.000 0.000 0.074
Ge 0.500 0.000 0.923
```

---

Compound: Sm2GaGe
Source: the Open Quantum Materials Database
Functional: PBE
Structure: optimized geometry Values from VASP.

## Properties
* symmetry: Amm2, No. 38
* energy: -5.042 eV per atom
* volume: 98.7 Å³ per cell
* magnetic moment: 0.421 Bohr magnetons per cell

Geometry as Quantum ESPRESSO input:
```
&SYSTEM
  ibrav = 0, nat = 4, ntyp = 3
/
ATOMIC_SPECIES
Ga 69.72 Ga.upf
Sm 150.36 Sm.upf
Ge 72.64 Ge.upf
CELL_PARAMETERS angstrom
4.113 0.000 0.000
0.000 2.157 5.563
0.000 -2.157 5.563
ATOMIC_POSITIONS crystal
Ga 0.500 0.424 0.424
Sm 0.500 0.141 0.141
Sm 0.000 0.860 0.860
Ge 0.000 0.576 0.576
```

---

Compound: Sm2GaGe
Source: the Open Quantum Materials Database
Functional: PBE
Structure: optimized geometry Values from VASP.

## Properties
* symmetry: P2_1/m, No. 11
* energy: -5.046 eV per atom
* volume: 199.6 Å³ per cell
* magnetic moment: 0.505 Bohr magnetons per cell

Geometry as Quantum ESPRESSO input:
```
&SYSTEM
  ibrav = 0, nat = 8, ntyp = 3
/
ATOMIC_SPECIES
Ge 72.64 Ge.upf
Sm 150.36 Sm.upf
Ga 69.72 Ga.upf
CELL_PARAMETERS angstrom
-5.146 2.000 -2.243
-1.402 -3.819 -0.189
-0.730 -0.160 8.615
ATOMIC_POSITIONS crystal
Ge 0.863 0.750 0.711
Ge 0.137 0.250 0.289
Sm 0.288 0.750 0.569
Sm 0.712 0.250 0.431
Sm 0.793 0.750 0.071
Sm 0.207 0.250 0.929
Ga 0.366 0.750 0.211
Ga 0.634 0.250 0.789
```

---

Compound: Sm2Ga3Ge
Source: the Open Quantum Materials Database
Functional: PBE
Structure: optimized geometry Values from VASP.

## Properties
* symmetry: Pmm2, No. 25
* energy: -4.554 eV per atom
* volume: 130.5 Å³ per cell
* magnetic moment: 0.001 Bohr magnetons per cell

Geometry as Quantum ESPRESSO input:
```
&SYSTEM
  ibrav = 0, nat = 6, ntyp = 3
/
ATOMIC_SPECIES
Sm 150.36 Sm.upf
Ga 69.72 Ga.upf
Ge 72.64 Ge.upf
CELL_PARAMETERS angstrom
4.200 0.000 0.000
0.000 4.237 0.000
0.000 0.000 7.336
ATOMIC_POSITIONS crystal
Sm 0.500 0.000 0.004
Sm 0.500 0.500 0.497
Ga 0.000 0.500 0.162
Ga 0.000 0.500 0.830
Ga 0.000 0.000 0.671
Ge 0.000 0.000 0.336
```

---

Compound: SrZn2GaGe
Source: the Open Quantum Materials Database
Functional: PBE
Structure: optimized geometry Values from VASP.

## Properties
* symmetry: I4mm, No. 107
* energy: -2.765 eV per atom
* volume: 103.2 Å³ per cell

Geometry as Quantum ESPRESSO input:
```
&SYSTEM
  ibrav = 0, nat = 5, ntyp = 4
/
ATOMIC_SPECIES
Zn 65.41 Zn.upf
Ge 72.64 Ge.upf
Sr 87.62 Sr.upf
Ga 69.72 Ga.upf
CELL_PARAMETERS angstrom
-0.360 -6.249 0.629
-1.345 -2.693 5.523
-2.134 4.575 -3.753
ATOMIC_POSITIONS crystal
Zn 0.249 0.749 0.500
Zn 0.749 0.249 0.500
Ge 0.385 0.385 0.000
Sr 0.999 0.999 0.000
Ga 0.618 0.618 0.000
```

---

Compound: Ta2Ga2Ge
Source: the Open Quantum Materials Database
Functional: PBE
Structure: optimized geometry Values from VASP.

## Properties
* symmetry: I4/mmm, No. 139
* energy: -6.452 eV per atom
* volume: 96.2 Å³ per cell
* magnetic moment: 0.004 Bohr magnetons per cell

Geometry as Quantum ESPRESSO input:
```
&SYSTEM
  ibrav = 0, nat = 5, ntyp = 3
/
ATOMIC_SPECIES
Ta 180.95 Ta.upf
Ge 72.64 Ge.upf
Ga 69.72 Ga.upf
CELL_PARAMETERS angstrom
3.252 -0.592 6.175
-1.899 1.169 6.639
-1.541 -2.872 -6.199
ATOMIC_POSITIONS crystal
Ta 0.250 0.750 0.500
Ta 0.750 0.250 0.500
Ge 0.000 0.000 0.000
Ga 0.595 0.595 0.000
Ga 0.405 0.405 0.000
```

---

Compound: TbGaGe
Source: the Open Quantum Materials Database
Functional: PBE
Structure: optimized geometry Values from VASP.

## Properties
* symmetry: P-62m, No. 189
* energy: -4.441 eV per atom
* volume: 205.0 Å³ per cell
* magnetic moment: 0.034 Bohr magnetons per cell

Geometry as Quantum ESPRESSO input:
```
&SYSTEM
  ibrav = 0, nat = 9, ntyp = 3
/
ATOMIC_SPECIES
Ga 69.72 Ga.upf
Tb 158.93 Tb.upf
Ge 72.64 Ge.upf
CELL_PARAMETERS angstrom
-1.032 3.663 6.577
-5.906 -1.266 -4.611
-0.702 -3.574 1.881
ATOMIC_POSITIONS crystal
Ga 0.594 0.594 0.500
Ga 0.000 0.406 0.500
Ga 0.406 0.000 0.500
Tb 0.723 0.000 0.000
Tb 0.277 0.277 0.000
Tb 0.000 0.723 0.000
Ge 0.000 0.000 0.500
Ge 0.333 0.667 0.000
Ge 0.667 0.333 0.000
```

---

Compound: Tb4GaGe3
Source: the Open Quantum Materials Database
Functional: PBE
Structure: optimized geometry Values from VASP.

## Properties
* symmetry: Pmm2, No. 25
* energy: -5.262 eV per atom
* volume: 187.0 Å³ per cell
* magnetic moment: 0.009 Bohr magnetons per cell

Geometry as Quantum ESPRESSO input:
```
&SYSTEM
  ibrav = 0, nat = 8, ntyp = 3
/
ATOMIC_SPECIES
Tb 158.93 Tb.upf
Ge 72.64 Ge.upf
Ga 69.72 Ga.upf
CELL_PARAMETERS angstrom
-1.742 3.512 -0.743
-0.928 0.430 4.207
9.457 5.025 1.573
ATOMIC_POSITIONS crystal
Tb 0.000 0.000 0.361
Tb 0.000 0.500 0.861
Tb 0.500 0.500 0.140
Tb 0.500 0.000 0.639
Ge 0.000 0.000 0.080
Ge 0.500 0.500 0.416
Ge 0.000 0.500 0.583
Ga 0.500 0.000 0.921
```

---

Compound: Tb2GaGe
Source: the Open Quantum Materials Database
Functional: PBE
Structure: optimized geometry Values from VASP.

## Properties
* symmetry: P2_1/m, No. 11
* energy: -5.020 eV per atom
* volume: 189.3 Å³ per cell
* magnetic moment: 0.024 Bohr magnetons per cell

Geometry as Quantum ESPRESSO input:
```
&SYSTEM
  ibrav = 0, nat = 8, ntyp = 3
/
ATOMIC_SPECIES
Ga 69.72 Ga.upf
Ge 72.64 Ge.upf
Tb 158.93 Tb.upf
CELL_PARAMETERS angstrom
-5.014 1.866 -2.344
-0.052 -3.192 -2.430
-1.913 -4.987 6.592
ATOMIC_POSITIONS crystal
Ga 0.131 0.250 0.290
Ga 0.869 0.750 0.710
Ge 0.634 0.250 0.791
Ge 0.366 0.750 0.209
Tb 0.212 0.250 0.932
Tb 0.706 0.250 0.428
Tb 0.788 0.750 0.068
Tb 0.294 0.750 0.572
```

---

Compound: TbGaGe
Source: the Open Quantum Materials Database
Functional: PBE
Structure: optimized geometry Values from VASP.

## Properties
* symmetry: P-62m, No. 189
* energy: -4.670 eV per atom
* volume: 188.4 Å³ per cell
* magnetic moment: 0.001 Bohr magnetons per cell

Geometry as Quantum ESPRESSO input:
```
&SYSTEM
  ibrav = 0, nat = 9, ntyp = 3
/
ATOMIC_SPECIES
Ga 69.72 Ga.upf
Tb 158.93 Tb.upf
Ge 72.64 Ge.upf
CELL_PARAMETERS angstrom
7.254 0.000 0.000
-3.627 6.282 0.000
0.000 0.000 4.134
ATOMIC_POSITIONS crystal
Ga 0.732 0.000 0.000
Ga 0.268 0.268 0.000
Ga 0.000 0.732 0.000
Tb 0.386 0.000 0.500
Tb 0.000 0.386 0.500
Tb 0.614 0.614 0.500
Ge 0.333 0.667 0.000
Ge 0.667 0.333 0.000
Ge 0.000 0.000 0.500
```

---

Compound: Tb4Ga3Ge
Source: the Open Quantum Materials Database
Functional: PBE
Structure: optimized geometry Values from VASP.

## Properties
* symmetry: Pmm2, No. 25
* energy: -4.739 eV per atom
* volume: 191.8 Å³ per cell
* magnetic moment: 0.056 Bohr magnetons per cell

Geometry as Quantum ESPRESSO input:
```
&SYSTEM
  ibrav = 0, nat = 8, ntyp = 3
/
ATOMIC_SPECIES
Ga 69.72 Ga.upf
Tb 158.93 Tb.upf
Ge 72.64 Ge.upf
CELL_PARAMETERS angstrom
-3.664 1.131 1.239
-1.659 -3.765 -1.468
1.859 -4.601 9.701
ATOMIC_POSITIONS crystal
Ga 0.000 0.000 0.578
Ga 0.500 0.000 0.424
Ga 0.000 0.500 0.077
Tb 0.000 0.500 0.360
Tb 0.500 0.000 0.139
Tb 0.000 0.000 0.861
Tb 0.500 0.500 0.640
Ge 0.500 0.500 0.921
```